1.
SiPIr4 | Alexandria | PBE | optimized geometry; spin magnetization = 0.00 μB/cell; V = 16.5 Å³/atom; formation energy without anion corrections = 0.82 eV per atom; Fermi-level density of states = 10.2 states/eV/cell
1.0
0.000 3.669 3.669
3.669 0.000 3.669
3.669 3.669 0.000
Si P Ir
1 1 4
direct
0.000 0.000 0.000 Si
0.250 0.250 0.250 P
0.125 0.625 0.625 Ir
0.625 0.125 0.625 Ir
0.625 0.625 0.125 Ir
0.625 0.625 0.625 Ir

---

2.
SiPIr | Alexandria | PBE | optimized geometry; spin magnetization = 0.00 μB/cell; V = 16.0 Å³/atom; formation energy without anion corrections = -0.46 eV per atom; Fermi-level density of states = 4.9 states/eV/cell
1.0
5.890 0.000 0.000
0.000 5.922 0.000
-2.183 0.000 5.513
Si P Ir
4 4 4
direct
0.140 0.000 0.119 Si
0.342 0.495 0.448 Si
0.658 0.995 0.552 Si
0.860 0.500 0.881 Si
0.147 0.741 0.622 P
0.326 0.250 0.941 P
0.674 0.750 0.059 P
0.853 0.241 0.378 P
0.263 0.117 0.552 Ir
0.286 0.625 0.043 Ir
0.714 0.125 0.957 Ir
0.737 0.617 0.448 Ir

---

Question: Which of these has the lowest Fermi-level density of states?
Answer: SiPIr

---

Question: Which value of Fermi-level density of states does entry 2 give?
Answer: 4.9 states/eV/cell

---

Question: Among the records above, which one has the highest formation energy without anion corrections?
Answer: SiPIr4

---

Question: The lowest Fermi-level density of states belongs to which entry?
Answer: SiPIr